The following is a PBE calculation of crystalline AcPm2Ho2 at its relaxed geometry, from Alexandria via LeMat-Bulk.

a = 9.7841 Å, b = 9.7841 Å, c = 3.7402 Å
α = 90.00°, β = 90.00°, γ = 90.00°
Fractional coordinates of all 10 atoms:
Ac 0.0000 0.0000 0.0000
Ac 0.5000 0.5000 0.0000
Pm 0.1741 0.3259 0.5000
Pm 0.3259 0.8259 0.5000
Pm 0.6741 0.1741 0.5000
Pm 0.8259 0.6741 0.5000
Ho 0.1209 0.6209 0.0000
Ho 0.3791 0.1209 0.0000
Ho 0.6209 0.8791 0.0000
Ho 0.8791 0.3791 0.0000

Output
V: 35.80 Å³ per atom
Excess energy over the best structure of this formula in the dataset: 0 meV/atom
Total DFT energy (no corrections): -4.4804 eV per atom
Crystal system: tetragonal
Magnetization: 0.00 μB per formula unit
Symmetry: P4/mbm (127)
Energy of formation: 0.0726 eV per atom

The following is a PBE calculation of crystalline SiTe2W at its relaxed geometry, from Alexandria via LeMat-Bulk.

a = 3.1167 Å, b = 3.1167 Å, c = 9.9350 Å
α = 90.00°, β = 90.00°, γ = 114.98°
Fractional coordinates of all 4 atoms:
Si 0.0000 0.0000 0.0000
Te 0.5000 0.5000 0.2744
Te 0.5000 0.5000 0.7256
W 0.0000 0.0000 0.5000

Output
V: 21.87 Å³ per atom
Raw formation energy: 0.8864 eV/atom
Total DFT energy (no corrections): -5.2785 eV per atom
Crystal system: orthorhombic
Magnetization: 0.00 μB per formula unit
Symmetry: Cmmm (65)

The following is a PBE calculation of crystalline InCoAu2 at its relaxed geometry, from Alexandria via LeMat-Bulk.

a = 9.1633 Å, b = 9.1633 Å, c = 9.1633 Å
α = 19.01°, β = 19.01°, γ = 19.01°
Fractional coordinates of all 4 atoms:
In 0.0000 0.0000 0.0000
Co 0.5000 0.5000 0.5000
Au 0.2420 0.2420 0.2420
Au 0.7580 0.7580 0.7580

Output
V: 17.84 Å³ per atom
Total DFT energy (no corrections): -3.8418 eV per atom
Crystal system: trigonal
Magnetization: 1.96 μB per formula unit
Symmetry: R-3m (166)
Energy of formation: 0.2580 eV per atom

The following is a PBE calculation of crystalline BaTiAg3 at its relaxed geometry, from Alexandria via LeMat-Bulk.

a = 5.7622 Å, b = 5.7622 Å, c = 5.7622 Å
α = 90.00°, β = 90.00°, γ = 90.00°
Fractional coordinates of all 5 atoms:
Ba 0.0000 0.0000 0.0000
Ti 0.5000 0.5000 0.5000
Ag 0.0000 0.0000 0.5000
Ag 0.0000 0.5000 0.0000
Ag 0.5000 0.0000 0.0000

Output
V: 38.26 Å³ per atom
Excess energy over the best structure of this formula in the dataset: 1194 meV/atom
Total DFT energy (no corrections): -2.1597 eV per atom
Crystal system: cubic
Magnetization: 0.12 μB per formula unit
Symmetry: Pm-3m (221)
Energy of formation: 1.5146 eV per atom

The following is a PBE calculation of crystalline NaEuZnBi at its relaxed geometry, from Alexandria via LeMat-Bulk.

a = 5.4419 Å, b = 5.4419 Å, c = 5.4419 Å
α = 60.00°, β = 60.00°, γ = 60.00°
Fractional coordinates of all 4 atoms:
Na 0.0000 0.0000 0.0000
Eu 0.5000 0.5000 0.5000
Zn 0.2500 0.2500 0.2500
Bi 0.7500 0.7500 0.7500

Output
V: 28.49 Å³ per atom
Total DFT energy (no corrections): -4.6144 eV per atom
Crystal system: cubic
Magnetization: 6.99 μB per formula unit
Symmetry: F-43m (216)
Energy of formation: -0.4273 eV per atom

The following is a PBE calculation of crystalline ErSc2In at its relaxed geometry, from Alexandria via LeMat-Bulk.

a = 4.6199 Å, b = 4.6199 Å, c = 4.6097 Å
α = 90.00°, β = 90.00°, γ = 90.00°
Fractional coordinates of all 4 atoms:
Er 0.0000 0.0000 0.0000
Sc 0.0000 0.5000 0.5000
Sc 0.5000 0.0000 0.5000
In 0.5000 0.5000 0.0000

Output
V: 24.60 Å³ per atom
Excess energy over the best structure of this formula in the dataset: 0 meV/atom
Total DFT energy (no corrections): -5.2556 eV per atom
Crystal system: tetragonal
Magnetization: 1.20 μB per formula unit
Symmetry: P4/mmm (123)
Energy of formation: -0.2645 eV per atom

The following is a PBE calculation of crystalline Tb4ZnHg5 at its relaxed geometry, from Alexandria via LeMat-Bulk.

a = 3.7201 Å, b = 3.7201 Å, c = 17.9414 Å
α = 90.00°, β = 90.00°, γ = 90.00°
Fractional coordinates of all 10 atoms:
Tb 0.0000 0.0000 0.1048
Tb 0.0000 0.0000 0.3141
Tb 0.0000 0.0000 0.6859
Tb 0.0000 0.0000 0.8952
Zn 0.0000 0.0000 0.5000
Hg 0.5000 0.5000 0.0000
Hg 0.5000 0.5000 0.2074
Hg 0.5000 0.5000 0.4135
Hg 0.5000 0.5000 0.5865
Hg 0.5000 0.5000 0.7926

Output
V: 24.83 Å³ per atom
Excess energy over the best structure of this formula in the dataset: 37 meV/atom
Total DFT energy (no corrections): -2.5078 eV per atom
Crystal system: tetragonal
Magnetization: 0.23 μB per formula unit
Symmetry: P4/mmm (123)
Energy of formation: -0.3774 eV per atom

The following is a PBE calculation of crystalline Dy2Y7Th2 at its relaxed geometry, from Alexandria via LeMat-Bulk.

a = 8.0099 Å, b = 8.0099 Å, c = 6.1061 Å
α = 105.59°, β = 105.59°, γ = 91.72°
Fractional coordinates of all 11 atoms:
Dy 0.2194 0.7806 0.0000
Dy 0.7806 0.2194 0.0000
Y 0.0000 0.0000 0.5000
Y 0.0620 0.5886 0.3270
Y 0.2324 0.2324 0.0873
Y 0.4114 0.9380 0.6730
Y 0.5886 0.0620 0.3270
Y 0.7676 0.7676 0.9127
Y 0.9380 0.4114 0.6730
Th 0.4210 0.4210 0.6966
Th 0.5790 0.5790 0.3034

Output
V: 32.84 Å³ per atom
Excess energy over the best structure of this formula in the dataset: 21 meV/atom
Total DFT energy (no corrections): -6.1118 eV per atom
Crystal system: monoclinic
Magnetization: 0.00 μB per formula unit
Symmetry: C2/m (12)
Energy of formation: 0.1875 eV per atom

The following is a PBE calculation of crystalline Sc6CN4 at its relaxed geometry, from Alexandria via LeMat-Bulk.

a = 6.6223 Å, b = 6.6223 Å, c = 6.6223 Å
α = 91.84°, β = 91.84°, γ = 91.84°
Fractional coordinates of all 22 atoms:
Sc 0.0361 0.9369 0.6873
Sc 0.0631 0.3127 0.9639
Sc 0.1873 0.4369 0.5361
Sc 0.3127 0.9639 0.0631
Sc 0.4369 0.5361 0.1873
Sc 0.4639 0.8127 0.5631
Sc 0.5361 0.1873 0.4369
Sc 0.5631 0.4639 0.8127
Sc 0.6873 0.0361 0.9369
Sc 0.8127 0.5631 0.4639
Sc 0.9369 0.6873 0.0361
Sc 0.9639 0.0631 0.3127
C 0.0000 0.0000 0.0000
C 0.5000 0.5000 0.5000
N 0.0975 0.7500 0.4025
N 0.2500 0.2500 0.2500
N 0.2500 0.5975 0.9025
N 0.4025 0.0975 0.7500
N 0.5975 0.9025 0.2500
N 0.7500 0.4025 0.0975
N 0.7500 0.7500 0.7500
N 0.9025 0.2500 0.5975

Output
V: 13.18 Å³ per atom
Raw formation energy: -0.9326 eV/atom
Total DFT energy (no corrections): -8.2521 eV per atom
Crystal system: trigonal
Magnetization: 0.00 μB per formula unit
Symmetry: R-3c (167)

The following is a PBE calculation of crystalline TbDyC2 at its relaxed geometry, from Alexandria via LeMat-Bulk.

a = 6.2442 Å, b = 6.2442 Å, c = 6.2442 Å
α = 33.63°, β = 33.63°, γ = 33.63°
Fractional coordinates of all 4 atoms:
Tb 0.0000 0.0000 0.0000
Dy 0.5000 0.5000 0.5000
C 0.2495 0.2495 0.2495
C 0.7505 0.7505 0.7505

Output
V: 16.63 Å³ per atom
Total DFT energy (no corrections): -6.8645 eV per atom
Crystal system: trigonal
Magnetization: 0.00 μB per formula unit
Symmetry: R-3m (166)
Energy of formation: 0.0556 eV per atom

The following is a PBE calculation of crystalline Ag3SnI6 at its relaxed geometry, from Alexandria via LeMat-Bulk.

a = 12.0532 Å, b = 4.7070 Å, c = 12.8757 Å
α = 90.00°, β = 109.49°, γ = 90.00°
Fractional coordinates of all 20 atoms:
Ag 0.0087 0.2500 0.3501
Ag 0.3326 0.7500 0.4122
Ag 0.4156 0.2500 0.8297
Ag 0.5844 0.7500 0.1703
Ag 0.6674 0.2500 0.5878
Ag 0.9913 0.7500 0.6499
Sn 0.1970 0.7500 0.0144
Sn 0.8030 0.2500 0.9856
I 0.0377 0.2500 0.8925
I 0.1206 0.7500 0.4682
I 0.2238 0.2500 0.2692
I 0.2387 0.7500 0.7889
I 0.4053 0.2500 0.0638
I 0.4429 0.2500 0.6128
I 0.5571 0.7500 0.3872
I 0.5947 0.7500 0.9362
I 0.7613 0.2500 0.2111
I 0.7762 0.7500 0.7308
I 0.8794 0.2500 0.5318
I 0.9623 0.7500 0.1075

Output
V: 34.43 Å³ per atom
Raw formation energy: -0.2033 eV/atom
Total DFT energy (no corrections): -2.3890 eV per atom
Crystal system: monoclinic
Magnetization: 0.00 μB per formula unit
Symmetry: P2_1/m (11)

The following is a PBE calculation of crystalline CrFe2Au at its relaxed geometry, from Alexandria via LeMat-Bulk.

a = 4.5932 Å, b = 4.5932 Å, c = 2.7811 Å
α = 90.00°, β = 90.00°, γ = 109.58°
Fractional coordinates of all 4 atoms:
Cr 0.0000 0.0000 0.0000
Fe 0.0000 0.5000 0.5000
Fe 0.5000 0.0000 0.5000
Au 0.5000 0.5000 0.0000

Output
V: 13.82 Å³ per atom
Total DFT energy (no corrections): -7.1866 eV per atom
Crystal system: orthorhombic
Magnetization: 2.20 μB per formula unit
Symmetry: Cmmm (65)
Energy of formation: 0.2699 eV per atom

Question: Which of these has the highest magnetization?
Answer: NaEuZnBi

Question: Which of these has the lowest V?
Answer: Sc6CN4

Question: The highest V belongs to which entry?
Answer: BaTiAg3

Question: Which of these has the lowest V?
Answer: Sc6CN4